# 1
Entry from Alexandria: a relaxed structure of LiScTlHg (PBE).

Electronic total energy: -48.953 eV/cell
Calculated density: 9.0 g cm⁻³
ΔE_f: -0.331 eV/atom
Total magnetic moment: 0.00 Bohr magnetons per cell

a b c (Å): 6.9520 6.9520 6.9520
angles (deg): 90.00 90.00 90.00
Space group F-43m (No. 216)
Symmetry-distinct sites (fractional):
1 Li 0.0000 0.0000 0.0000 [4 per cell]
2 Sc 0.0000 0.0000 0.5000 [4 per cell]
3 Tl 0.2500 0.2500 0.7500 [4 per cell]
4 Hg 0.2500 0.2500 0.2500 [4 per cell]



# 2
Entry from Alexandria: a relaxed structure of LiTmSc2Hg4 (PBE).

Electronic total energy: -70.694 eV/cell
Calculated density: 10.1 g cm⁻³
ΔE_f: -0.414 eV/atom
Total magnetic moment: 0.00 Bohr magnetons per cell

a b c (Å): 4.9585 4.9585 24.7370
angles (deg): 90.00 90.00 120.00
Space group R-3m (No. 166, hexagonal axes)
Symmetry-distinct sites (fractional):
1 Li 0.0000 0.0000 0.0000 [3 per cell]
2 Tm 0.0000 0.0000 0.5000 [3 per cell]
3 Sc 0.0000 0.0000 0.2538 [6 per cell]
4 Hg 0.0000 0.0000 0.1191 [6 per cell]
5 Hg 0.0000 0.0000 0.3732 [6 per cell]



Please write out number 2 again, unchanged.
Entry from Alexandria: a relaxed structure of LiTmSc2Hg4 (PBE).

Electronic total energy: -70.694 eV/cell
Calculated density: 10.1 g cm⁻³
ΔE_f: -0.414 eV/atom
Total magnetic moment: 0.00 Bohr magnetons per cell

a b c (Å): 4.9585 4.9585 24.7370
angles (deg): 90.00 90.00 120.00
Space group R-3m (No. 166, hexagonal axes)
Symmetry-distinct sites (fractional):
1 Li 0.0000 0.0000 0.0000 [3 per cell]
2 Tm 0.0000 0.0000 0.5000 [3 per cell]
3 Sc 0.0000 0.0000 0.2538 [6 per cell]
4 Hg 0.0000 0.0000 0.1191 [6 per cell]
5 Hg 0.0000 0.0000 0.3732 [6 per cell]



Question: Among the records above, which one has the lowest ΔE_f?
Answer: LiTmSc2Hg4